1.
Here is a PBEsol-optimized structure of Co2Te2Cl from the Alexandria database. Energies are from meta-GGA SCAN.

Its total magnetization is 0.00 μB/f.u. The uncorrected formation energy is -0.20 eV/atom. Its density of states at the Fermi level is 1.6 states/eV/f.u. The total energy comes out at -118.08 eV per formula unit.

The structure belongs to space group I4/mmm (No. 139); the cell edges are 3.646, 3.646 and 14.821 Å and the angles 90.00°, 90.00° and 90.00°. The asymmetric unit holds Co at (0.000, 0.500, 0.250), Te at (0.000, 0.000, 0.140) and Cl at (0.000, 0.000, 0.500).

***

2.
Here is a PBEsol-optimized structure of CoTeCl2 from the Alexandria database. Energies are from meta-GGA SCAN.

Its total magnetization is 0.98 μB/f.u. The uncorrected formation energy is 0.34 eV/atom. Its density of states at the Fermi level is 1.5 states/eV/f.u. The total energy comes out at -69.16 eV per formula unit.

The structure belongs to space group F-43m (No. 216); the cell edges are 6.626, 6.626 and 6.626 Å and the angles 90.00°, 90.00° and 90.00°. The asymmetric unit holds Co at (0.000, 0.000, 0.000), Te at (0.250, 0.250, 0.750), Cl at (0.000, 0.000, 0.500) and Cl at (0.250, 0.250, 0.250).